(1)
DyHoIn5: relaxed, PBE-GGA.

Calculated values
VASP energy, eV per formula unit: -25.1
Total magnetization, μB/cell: 0.01

Cell: 4.6014 4.6014 8.8618 Å, 90.00 90.00 90.00°
Last column: nearest neighbours and their distance in Å.
Space group P4/mmm (No. 123)
Unique sites:
Dy1 0.0000 0.0000 0.0000 x1  12 In 3.25-3.28
Ho1 0.0000 0.0000 0.5000 x1  8 In 3.11
In1 0.0000 0.5000 0.2632 x4  2 Ho 3.11, 6 In 3.25-3.28, 2 Dy 3.28
In2 0.5000 0.5000 0.0000 x1  4 Dy 3.25, 8 In 3.28


(2)
AlH6IrPb: relaxed, PBE-GGA.

Calculated values
VASP energy, eV per formula unit: -30.2
Total magnetization, μB/cell: 5.61

Cell: 6.8712 6.8712 6.8712 Å, 90.00 90.00 90.00°
Last column: nearest neighbours and their distance in Å.
Space group F-43m (No. 216)
Unique sites:
Al1 0.0000 0.0000 0.0000 x4  6 H 1.77
H1 0.0000 0.0000 0.2570 x24  1 Al 1.77
Ir1 0.2500 0.2500 0.2500 x4  12 H 2.43
Pb1 0.2500 0.2500 0.7500 x4  12 H 2.43


(3)
InPd: relaxed, PBE-GGA.

Calculated values
VASP energy, eV per formula unit: -7.8

Cell: 6.0531 6.0531 6.0531 Å, 90.00 90.00 90.00°
Last column: nearest neighbours and their distance in Å.
Space group F-43m (No. 216)
Unique sites:
In1 0.0000 0.0000 0.0000 x4  4 Pd 2.62
Pd1 0.2500 0.2500 0.7500 x4  4 In 2.62


(4)
HfBeMoW: relaxed, PBE-GGA.

Calculated values
VASP energy, eV per formula unit: -37.1
Total magnetization, μB/cell: 0.01
Energy relative to the lowest polymorph listed for this composition, eV per atom: 0.000

Cell: 6.3085 6.3085 6.3085 Å, 90.00 90.00 90.00°
Last column: nearest neighbours and their distance in Å.
Space group F-43m (No. 216)
Unique sites:
Hf1 0.0000 0.0000 0.0000 x4  4 Mo 2.73, 4 Be 2.73
Be1 0.2500 0.2500 0.2500 x4  4 Hf 2.73, 4 W 2.73
Mo1 0.2500 0.2500 0.7500 x4  4 Hf 2.73, 4 W 2.73
W1 0.0000 0.0000 0.5000 x4  4 Mo 2.73, 4 Be 2.73


(5)
HfBeNbRe: relaxed, PBE-GGA.

Calculated values
VASP energy, eV per formula unit: -36.1
Total magnetization, μB/cell: 0.01
Energy relative to the lowest polymorph listed for this composition, eV per atom: 0.142

Cell: 6.3105 6.3105 6.3105 Å, 90.00 90.00 90.00°
Last column: nearest neighbours and their distance in Å.
Space group F-43m (No. 216)
Unique sites:
Hf1 0.0000 0.0000 0.0000 x4  4 Nb 2.73, 4 Be 2.73
Be1 0.2500 0.2500 0.7500 x4  4 Hf 2.73, 4 Re 2.73
Nb1 0.2500 0.2500 0.2500 x4  4 Hf 2.73, 4 Re 2.73
Re1 0.0000 0.0000 0.5000 x4  4 Be 2.73, 4 Nb 2.73


(6)
Dy2YIn3Pt2: relaxed, PBE-GGA.

Calculated values
VASP energy, eV per formula unit: -43.1
Total magnetization, μB/cell: 0.01

Cell: 3.6349 13.3822 7.6938 Å, 90.00 90.00 90.00°
Last column: nearest neighbours and their distance in Å.
Space group Amm2 (No. 38)
Unique sites:
Dy1 0.0000 0.2105 0.0000 x4  4 Pt 2.93, 2 In 3.25
Y1 0.0000 0.0000 0.6308 x2  4 Pt 2.95, 2 In 3.25
In1 0.5000 0.0000 0.9804 x2  2 Pt 3.05, 2 In 3.07, 2 Y 3.25, 4 Dy 3.36
In2 0.5000 0.1152 0.3255 x4  2 Pt 3.04-3.05, 2 In 3.07-3.08, 4 Dy 3.25-3.35, 2 Y 3.35
Pt1 0.5000 0.1674 0.7109 x4  4 Dy 2.93, 2 Y 2.95, 3 In 3.04-3.05


(7)
IrPdPt2: relaxed, PBE-GGA.

Calculated values
VASP energy, eV per formula unit: -25.1
Total magnetization, μB/cell: 2.77
Energy of formation from the pure elements, eV/atom: 0.258

Cell: 6.2823 6.2823 6.2823 Å, 90.00 90.00 90.00°
Last column: nearest neighbours and their distance in Å.
Space group F-43m (No. 216)
Unique sites:
Ir1 0.0000 0.0000 0.0000 x4  4 Pt 2.72, 4 Pd 2.72
Pd1 0.2500 0.2500 0.7500 x4  4 Ir 2.72, 4 Pt 2.72
Pt1 0.0000 0.0000 0.5000 x4  4 Pd 2.72, 4 Pt 2.72
Pt2 0.2500 0.2500 0.2500 x4  4 Ir 2.72, 4 Pt 2.72


(8)
CuAs7PS7Cl: relaxed, PBE-GGA.

Calculated values
VASP energy, eV per formula unit: -75.9

Cell: 9.6969 13.7142 13.9430 Å, 90.00 96.25 90.00°
Last column: nearest neighbours and their distance in Å.
Space group P2_1/c (No. 14)
Unique sites:
Cu1 0.1286 0.1704 0.2139 x4  1 P 2.22, 2 S 2.33-2.37, 1 Cl 2.37
As1 0.0442 0.1411 0.9441 x4  2 S 2.25-2.31
As2 0.1006 0.1106 0.4912 x4  2 S 2.24-2.30
As3 0.1100 0.6716 0.9235 x4  2 S 2.26-2.30
As4 0.1347 0.7462 0.6642 x4  2 S 2.26-2.29
As5 0.3339 0.5366 0.3015 x4  1 S 2.27, 2 As 2.50-2.52
As6 0.4242 0.0623 0.6709 x4  1 S 2.27, 2 As 2.50-2.52
As7 0.4787 0.1126 0.8449 x4  1 S 2.27, 2 As 2.52
P1 0.3218 0.0835 0.2132 x4  3 S 2.09-2.11, 1 Cu 2.22
S1 0.0048 0.6146 0.1648 x4  2 As 2.29-2.30, 1 Cu 2.37
S2 0.0502 0.6665 0.4126 x4  2 As 2.30-2.31, 1 Cu 2.33
S3 0.2170 0.2491 0.9802 x4  2 As 2.24-2.25
S4 0.2672 0.6963 0.0531 x4  2 As 2.26
S5 0.3120 0.5386 0.6203 x4  1 P 2.11, 1 As 2.27
S6 0.3809 0.0233 0.3495 x4  1 P 2.09, 1 As 2.27
S7 0.4985 0.6544 0.3224 x4  1 P 2.10, 1 As 2.27
Cl1 0.1533 0.1587 0.7365 x4  1 Cu 2.37


What is the formula in the seventh record? IrPdPt2